(1)
Below is Pm2DyIn2Ag2 after structural relaxation, with properties calculated at the GGA-PBE level.

Summary:
The density of states at the Fermi level is 5.61 states/eV/f.u. The calculation puts the electronic total energy at -3.906 eV/atom. The symmetry is No. 166.

Cell lengths 4.863, 4.863, 9.485 Å; angles 75.15, 75.15, 60.00 degrees
Atoms (fractional coordinates):
In: 0.736 0.736 0.791
In: 0.264 0.264 0.209
Pm: 0.874 0.874 0.377
Pm: 0.126 0.126 0.623
Ag: 0.392 0.392 0.824
Ag: 0.608 0.608 0.176
Dy: 0.000 0.000 0.000

(2)
Below is Ba2InF5 after structural relaxation, with properties calculated at the GGA-PBE level.

Summary:
The density of states at the Fermi level is 0.00 states/eV/f.u. As for the uncorrected formation energy: -25.4 eV/f.u. The symmetry is No. 1.

Cell lengths 6.500, 7.168, 7.120 Å; angles 138.58, 117.01, 79.98 degrees
Atoms (fractional coordinates):
F: 0.137 0.241 0.910
F: 0.930 0.789 0.168
F: 0.330 0.874 0.978
F: 0.714 0.632 0.591
F: 0.607 0.157 0.759
Ba: 0.753 0.228 0.544
Ba: 0.298 0.789 0.531
In: 0.009 0.065 0.074

(3)
Below is KTaBr2 after structural relaxation, with properties calculated at the GGA-PBE level.

Summary:
The density of states at the Fermi level is 3.42 states/eV/f.u. As for the energy relative to the lowest polymorph listed for this composition: 60.4 meV/atom. As for the uncorrected formation energy: -0.3 eV/f.u. The symmetry is No. 166.

Cell lengths 10.599, 10.599, 10.599 Å; angles 18.85, 18.85, 18.85 degrees
Each line ends with the local moment (μB).
Atoms (fractional coordinates):
K: 0.250 0.250 0.250  0.02
Br: 0.024 0.024 0.024  0.01
Br: 0.476 0.476 0.476  0.01
Ta: 0.750 0.750 0.750  0.16

(4)
Below is TlZn2CrCl8 after structural relaxation, with properties calculated at the GGA-PBE level.

Summary:
As for the uncorrected formation energy: -12.8 eV/f.u. The symmetry is No. 148.

Cell lengths 6.168, 6.168, 10.505 Å; angles 72.93, 72.93, 60.00 degrees
Each line ends with the local moment (μB).
Atoms (fractional coordinates):
Cl: 0.812 0.812 0.563  0.00
Cl: 0.652 0.272 0.141  -0.01
Cl: 0.065 0.348 0.859  -0.01
Cl: 0.348 0.728 0.859  -0.01
Cl: 0.728 0.065 0.859  -0.01
Cl: 0.188 0.188 0.437  0.00
Cl: 0.935 0.652 0.141  -0.01
Cl: 0.272 0.935 0.141  -0.01
Zn: 0.737 0.737 0.789  0.01
Zn: 0.263 0.263 0.211  0.01
Cr: 0.000 0.000 0.000  2.84
Tl: 0.500 0.500 0.500  0.00

(5)
Below is ReGe2RhF after structural relaxation, with properties calculated at the GGA-PBE level.

Summary:
The density of states at the Fermi level is 1.59 states/eV/f.u. As for the uncorrected formation energy: 3.1 eV/f.u. The symmetry is No. 123.

Cell lengths 4.788, 3.947, 4.788 Å; angles 90.00, 90.00, 90.00 degrees
Each line ends with the local moment (μB).
Atoms (fractional coordinates):
Rh: 0.000 0.000 0.000  0.01
Ge: 0.000 0.000 0.500  -0.10
Ge: 0.500 0.000 0.000  -0.03
F: 0.000 0.500 0.000  0.01
Re: 0.500 0.500 0.500  2.62

(6)
Below is ReTcW2 after structural relaxation, with properties calculated at the GGA-PBE level.

Summary:
The density of states at the Fermi level is 3.90 states/eV/f.u. As for the energy relative to the lowest polymorph listed for this composition: 61.7 meV/atom. The symmetry is No. 35.

Cell lengths 2.729, 2.729, 8.855 Å; angles 90.00, 90.00, 109.53 degrees
Atoms (fractional coordinates):
W: 0.500 0.500 0.252
W: 0.000 0.000 0.997
Tc: 0.500 0.500 0.749
Re: 0.000 0.000 0.502

(7)
Below is UAl4Ni15 after structural relaxation, with properties calculated at the GGA-PBE level.

Summary:
The density of states at the Fermi level is 18.88 states/eV/f.u. The calculation puts the electronic total energy at -6.041 eV/atom. The symmetry is No. 123.

Cell lengths 3.660, 3.660, 17.661 Å; angles 90.00, 90.00, 90.00 degrees
Atoms (fractional coordinates):
Al: 0.000 0.000 0.403
Al: 0.000 0.000 0.597
Al: 0.000 0.000 0.789
Al: 0.000 0.000 0.211
Ni: 0.000 0.500 0.306
Ni: 0.500 0.500 0.207
Ni: 0.000 0.500 0.893
Ni: 0.500 0.000 0.306
Ni: 0.500 0.000 0.500
Ni: 0.500 0.500 0.000
Ni: 0.500 0.500 0.793
Ni: 0.500 0.000 0.893
Ni: 0.500 0.000 0.107
Ni: 0.500 0.500 0.598
Ni: 0.500 0.500 0.402
Ni: 0.500 0.000 0.694
Ni: 0.000 0.500 0.107
Ni: 0.000 0.500 0.500
Ni: 0.000 0.500 0.694
U: 0.000 0.000 0.000

(8)
Below is K2TlBiF6 after structural relaxation, with properties calculated at the GGA-PBE level.

Summary:
The density of states at the Fermi level is 0.00 states/eV/f.u. As for the uncorrected formation energy: -24.9 eV/f.u. The symmetry is No. 146.

Cell lengths 6.694, 6.694, 6.785 Å; angles 60.40, 60.40, 59.98 degrees
Atoms (fractional coordinates):
K: 0.537 0.536 0.391
K: 0.028 0.028 0.915
F: 0.412 0.654 0.788
F: 0.966 0.586 0.238
F: 0.586 0.210 0.237
F: 0.654 0.145 0.788
F: 0.210 0.966 0.238
F: 0.145 0.412 0.789
Tl: 0.808 0.807 0.578
Bi: 0.315 0.315 0.054

(9)
Below is La6TlTc2Br3 after structural relaxation, with properties calculated at the GGA-PBE level.

Summary:
The density of states at the Fermi level is 6.77 states/eV/f.u. As for the uncorrected formation energy: -8.9 eV/f.u. The symmetry is No. 12.

Cell lengths 4.184, 9.417, 10.621 Å; angles 106.01, 101.36, 90.00 degrees
Atoms (fractional coordinates):
Tc: 0.840 0.657 0.680
Tc: 0.160 0.343 0.320
Br: 0.176 0.844 0.352
Br: 0.824 0.156 0.648
Br: 0.500 0.500 0.000
La: 0.039 0.274 0.078
La: 0.337 0.869 0.673
La: 0.682 0.567 0.363
La: 0.663 0.131 0.327
La: 0.961 0.726 0.922
La: 0.318 0.433 0.637
Tl: 0.500 0.000 0.000

(10)
Below is SrCaAl2Ge2 after structural relaxation, with properties calculated at the GGA-PBE level.

Summary:
The density of states at the Fermi level is 2.83 states/eV/f.u. The calculation puts the electronic total energy at -3.722 eV/atom. The symmetry is No. 164.

Cell lengths 4.665, 4.665, 7.419 Å; angles 90.00, 90.00, 120.00 degrees
Atoms (fractional coordinates):
Al: 0.667 0.333 0.301
Al: 0.333 0.667 0.699
Ge: 0.333 0.667 0.273
Ge: 0.667 0.333 0.727
Sr: 0.000 0.000 0.000
Ca: 0.000 0.000 0.500

(11)
Below is CdGaRuAu2 after structural relaxation, with properties calculated at the GGA-PBE level.

Summary:
The density of states at the Fermi level is 4.26 states/eV/f.u. The calculation puts the electronic total energy at -3.005 eV/atom. The symmetry is No. 123.

Cell lengths 4.767, 4.939, 4.767 Å; angles 90.00, 90.00, 90.00 degrees
Each line ends with the local moment (μB).
Atoms (fractional coordinates):
Ru: 0.500 0.500 0.500  2.23
Au: 0.500 0.000 0.000  0.00
Au: 0.000 0.000 0.500  0.02
Ga: 0.000 0.000 0.000  0.03
Cd: 0.000 0.500 0.000  -0.02

(12)
Below is K2LaTe after structural relaxation, with properties calculated at the GGA-PBE level.

Summary:
The density of states at the Fermi level is 4.04 states/eV/f.u. As for the uncorrected formation energy: -2.3 eV/f.u. The symmetry is No. 6.

Cell lengths 4.118, 4.118, 12.259 Å; angles 70.31, 90.00, 90.00 degrees
Each line ends with the local moment (μB).
Atoms (fractional coordinates):
La: 0.000 0.415 0.585  0.11
Te: 0.500 0.790 0.710  0.00
K: 0.500 0.226 0.277  0.00
K: 0.000 0.069 0.928  0.00

(13)
Below is Hf2TiNCl after structural relaxation, with properties calculated at the GGA-PBE level.

Summary:
The density of states at the Fermi level is 6.79 states/eV/f.u. As for the uncorrected formation energy: 3.1 eV/f.u. The symmetry is No. 123.

Cell lengths 5.182, 3.780, 5.182 Å; angles 90.00, 90.00, 90.00 degrees
Atoms (fractional coordinates):
Hf: 0.000 0.000 0.500
Hf: 0.500 0.000 0.000
Ti: 0.000 0.000 0.000
N: 0.000 0.500 0.000
Cl: 0.500 0.500 0.500

(14)
Below is Nd6AgSn3 after structural relaxation, with properties calculated at the GGA-PBE level.

Summary:
The density of states at the Fermi level is 10.28 states/eV/f.u. The calculation puts the electronic total energy at -4.739 eV/atom. The symmetry is No. 36.

Cell lengths 7.358, 9.507, 9.507 Å; angles 106.38, 90.00, 90.00 degrees
Atoms (fractional coordinates):
Nd: 0.230 0.109 0.518
Nd: 0.587 0.234 0.328
Nd: 0.757 0.299 0.701
Nd: 0.730 0.891 0.482
Nd: 0.730 0.518 0.109
Nd: 0.230 0.482 0.891
Nd: 0.087 0.328 0.234
Nd: 0.087 0.766 0.672
Nd: 0.288 0.954 0.046
Nd: 0.788 0.046 0.954
Nd: 0.587 0.672 0.766
Nd: 0.257 0.701 0.299
Sn: 0.798 0.545 0.455
Sn: 0.948 0.017 0.262
Sn: 0.298 0.455 0.545
Sn: 0.948 0.738 0.983
Sn: 0.448 0.262 0.017
Sn: 0.448 0.983 0.738
Ag: 0.110 0.160 0.840
Ag: 0.610 0.840 0.160

(15)
Below is Mg3ZnBi after structural relaxation, with properties calculated at the GGA-PBE level.

Summary:
The density of states at the Fermi level is 3.39 states/eV/f.u. As for the energy relative to the lowest polymorph listed for this composition: 224.6 meV/atom. The symmetry is No. 221.

Cell lengths 5.035, 5.035, 5.035 Å; angles 90.00, 90.00, 90.00 degrees
Atoms (fractional coordinates):
Mg: 0.500 0.000 0.000
Mg: 0.000 0.500 0.000
Mg: 0.000 0.000 0.500
Zn: 0.000 0.000 0.000
Bi: 0.500 0.500 0.500

(16)
Below is ReSbCl3 after structural relaxation, with properties calculated at the GGA-PBE level.

Summary:
The density of states at the Fermi level is 5.04 states/eV/f.u. As for the energy relative to the lowest polymorph listed for this composition: 318.2 meV/atom. As for the uncorrected formation energy: 4.2 eV/f.u. The symmetry is No. 221.

Cell lengths 5.431, 5.431, 5.431 Å; angles 90.00, 90.00, 90.00 degrees
Each line ends with the local moment (μB).
Atoms (fractional coordinates):
Cl: 0.000 0.000 0.500  0.03
Cl: 0.500 0.000 0.000  0.03
Cl: 0.000 0.500 0.000  0.06
Re: 0.500 0.500 0.500  4.41
Sb: 0.000 0.000 0.000  -0.05

(17)
Below is Ca2La5Pr after structural relaxation, with properties calculated at the GGA-PBE level.

Summary:
The density of states at the Fermi level is 13.07 states/eV/f.u. The calculation puts the electronic total energy at -4.105 eV/atom. The symmetry is No. 71.

Cell lengths 3.597, 11.752, 9.403 Å; angles 128.67, 101.02, 90.00 degrees
Atoms (fractional coordinates):
Ca: 0.256 0.756 0.511
Ca: 0.744 0.244 0.489
La: 0.621 0.384 0.242
La: 0.379 0.616 0.758
La: 0.621 0.858 0.242
La: 0.379 0.142 0.758
La: 0.000 0.500 0.000
Pr: 0.000 0.000 0.000

(18)
Below is Er2Zn3Ag2 after structural relaxation, with properties calculated at the GGA-PBE level.

Summary:
The density of states at the Fermi level is 4.18 states/eV/f.u. The calculation puts the electronic total energy at -2.958 eV/atom. The symmetry is No. 12.

Cell lengths 4.554, 5.444, 6.638 Å; angles 109.67, 90.00, 114.73 degrees
Atoms (fractional coordinates):
Zn: 0.598 0.196 0.422
Zn: 0.500 0.000 0.000
Zn: 0.402 0.804 0.578
Er: 0.850 0.700 0.239
Er: 0.150 0.300 0.761
Ag: 0.145 0.291 0.222
Ag: 0.855 0.709 0.778

(19)
Below is ScTaGa4 after structural relaxation, with properties calculated at the GGA-PBE level.

Summary:
The density of states at the Fermi level is 0.47 states/eV/f.u. The calculation puts the electronic total energy at -5.301 eV/atom. The symmetry is No. 216.

Cell lengths 5.190, 5.190, 5.190 Å; angles 60.00, 60.00, 60.00 degrees
Atoms (fractional coordinates):
Sc: 0.250 0.250 0.250
Ga: 0.625 0.625 0.625
Ga: 0.124 0.625 0.625
Ga: 0.625 0.124 0.625
Ga: 0.625 0.625 0.124
Ta: 0.000 0.000 0.000

(20)
Below is AcTbPb2O8 after structural relaxation, with properties calculated at the GGA-PBE level.

Summary:
The density of states at the Fermi level is 9.38 states/eV/f.u. As for the uncorrected formation energy: -20.6 eV/f.u. The symmetry is No. 82.

Cell lengths 5.619, 5.619, 7.000 Å; angles 113.66, 113.66, 90.00 degrees
Each line ends with the local moment (μB).
Atoms (fractional coordinates):
O: 0.142 0.584 0.798  0.22
O: 0.948 0.406 0.317  0.22
O: 0.657 0.215 0.798  0.22
O: 0.089 0.052 0.683  0.22
O: 0.594 0.631 0.683  0.22
O: 0.369 0.911 0.317  0.22
O: 0.785 0.858 0.202  0.22
O: 0.416 0.343 0.202  0.22
Pb: 0.250 0.750 0.500  -0.02
Pb: 0.500 0.500 0.000  -0.02
Ac: 0.000 0.000 0.000  0.04
Tb: 0.750 0.250 0.500  -0.02

(21)
Below is AcRh2Pb after structural relaxation, with properties calculated at the GGA-PBE level.

Summary:
The density of states at the Fermi level is 6.48 states/eV/f.u. The calculation puts the electronic total energy at -5.975 eV/atom. The symmetry is No. 225.

Cell lengths 5.000, 4.999, 4.999 Å; angles 60.00, 60.00, 60.00 degrees
Atoms (fractional coordinates):
Ac: 0.250 0.250 0.250
Rh: 0.500 0.500 0.500
Rh: 0.000 0.000 0.000
Pb: 0.750 0.750 0.750

(22)
Below is HgPdAu3 after structural relaxation, with properties calculated at the GGA-PBE level.

Summary:
The density of states at the Fermi level is 1.52 states/eV/f.u. As for the energy relative to the lowest polymorph listed for this composition: 23.4 meV/atom. The symmetry is No. 62.

Cell lengths 8.258, 7.882, 5.946 Å; angles 90.00, 90.00, 90.00 degrees
Atoms (fractional coordinates):
Hg: 0.000 0.500 0.000
Hg: 0.500 0.000 0.500
Hg: 0.500 0.000 0.000
Hg: 0.000 0.500 0.500
Au: 0.656 0.594 0.506
Au: 0.875 0.790 0.250
Au: 0.156 0.906 0.006
Au: 0.625 0.290 0.250
Au: 0.844 0.094 0.506
Au: 0.656 0.594 0.994
Au: 0.156 0.906 0.494
Au: 0.375 0.710 0.750
Au: 0.344 0.406 0.006
Au: 0.125 0.210 0.750
Au: 0.844 0.094 0.994
Au: 0.344 0.406 0.494
Pd: 0.888 0.783 0.750
Pd: 0.388 0.717 0.250
Pd: 0.612 0.283 0.750
Pd: 0.112 0.217 0.250

(23)
Below is Np2NiIr after structural relaxation, with properties calculated at the GGA-PBE level.

Summary:
The density of states at the Fermi level is 8.10 states/eV/f.u. The calculation puts the electronic total energy at -9.911 eV/atom. The symmetry is No. 123.

Cell lengths 2.587, 5.187, 5.187 Å; angles 90.00, 90.00, 90.00 degrees
Atoms (fractional coordinates):
Ni: 0.500 0.500 0.500
Np: 0.000 0.000 0.500
Np: 0.000 0.500 0.000
Ir: 0.500 0.000 0.000

(24)
Below is U2TeS after structural relaxation, with properties calculated at the GGA-PBE level.

Summary:
The density of states at the Fermi level is 8.62 states/eV/f.u. As for the energy relative to the lowest polymorph listed for this composition: 26.6 meV/atom. As for the uncorrected formation energy: -3.5 eV/f.u. The symmetry is No. 160.

Cell lengths 3.835, 3.835, 7.996 Å; angles 76.12, 76.12, 60.00 degrees
Each line ends with the local moment (μB).
Atoms (fractional coordinates):
Te: 0.499 0.499 0.503  -0.07
U: 0.263 0.263 0.210  2.60
U: 0.071 0.071 0.788  2.47
S: 0.667 0.667 0.998  -0.06

no.,total magnetization (μB per cell),mass density (g/cm³)
1,0.001,8.0
2,0.000,4.3
3,0.354,5.8
4,3.000,3.4
5,2.867,8.3
6,0.000,17.4
7,0.009,8.6
8,0.000,4.7
9,0.000,6.2
10,0.000,3.9
11,2.312,10.0
12,0.307,2.9
13,0.000,7.4
14,0.000,6.9
15,0.000,4.5
16,5.516,4.3
17,0.000,5.1
18,0.000,8.9
19,0.000,8.5
20,2.060,8.5
21,0.000,12.0
22,0.000,15.4
23,0.000,17.3
24,5.834,10.8